Density functional theory data (PBE) for DyScCuAg after structural relaxation.

## Properties
Total moment in μB/f.u.: 0.0
ΔE to the lowest computed polymorph in eV per atom: 0.0290
N(E_F) in states/eV/f.u.: 2.7
Crystal system: cubic
Formation energy in eV per formula unit: -0.95

CIF file:
```
data_DyScCuAg
_cell_length_a 6.932
_cell_length_b 6.932
_cell_length_c 6.932
_cell_angle_alpha 90.00
_cell_angle_beta 90.00
_cell_angle_gamma 90.00
_space_group_name_H-M_alt 'F -4 3 m'
_space_group_IT_number 216
_space_group_name_Hall 'F -4 2 3'
loop_
_atom_site_label
_atom_site_type_symbol
_atom_site_fract_x
_atom_site_fract_y
_atom_site_fract_z
Dy1 Dy 0.000 0.000 0.000
Sc1 Sc 0.000 0.000 0.500
Cu1 Cu 0.250 0.250 0.250
Ag1 Ag 0.250 0.250 0.750
```